First-principles (PBE-GGA) data for Ce2HgF after structural relaxation, as listed in Alexandria via LeMat-Bulk.

extended XYZ file:
```
4
Lattice="1.940 1.120 7.305 -1.940 1.120 7.305 0.000 -2.240 7.305" Properties=species:S:1:pos:R:3 pbc="T T T"
Ce 0.000 0.000 4.981
Ce 0.000 0.000 16.935
Hg 0.000 0.000 0.000
F 0.000 0.000 10.958
```

Total magnetic moment in μB/f.u.: 1.7
D(E_F) in states/eV per atom: 2.840
Space-group type: No. 166
Energy relative to the lowest polymorph listed for this composition in meV per atom: 0.0
VASP energy in eV per atom: -4.72

---

First-principles (PBE-GGA) data for Li3CdPd after structural relaxation, as listed in Alexandria via LeMat-Bulk.

extended XYZ file:
```
10
Lattice="7.157 -2.044 0.000 7.157 2.044 0.000 -0.789 0.000 5.595" Properties=species:S:1:pos:R:3 pbc="T T T"
Li -0.111 0.000 1.395
Li 2.281 0.000 4.592
Li 5.100 0.000 2.660
Li 8.425 0.000 2.934
Li 11.244 0.000 1.003
Li 13.636 0.000 4.200
Cd 4.881 0.000 5.417
Cd 8.644 0.000 0.177
Pd 2.589 0.000 1.869
Pd 10.936 0.000 3.726
```

Energy of formation in eV per atom: -0.312
Total magnetic moment in μB/f.u.: 0.0
D(E_F) in states/eV per atom: 0.315
Space-group type: No. 12
Energy relative to the lowest polymorph listed for this composition in meV per atom: 4.3
VASP energy in eV per atom: -2.68

---

First-principles (PBE-GGA) data for LiDy2MnS5 after structural relaxation, as listed in Alexandria via LeMat-Bulk.

extended XYZ file:
```
18
Lattice="1.893 -8.876 0.000 1.893 8.876 0.000 0.000 0.000 10.431" Properties=species:S:1:pos:R:3 pbc="T T T"
Li 1.893 4.886 5.216
Li 1.893 -4.886 0.000
Dy 1.893 7.027 8.395
Dy 1.893 6.836 1.963
Dy 1.893 -6.836 7.179
Dy 1.893 -7.027 3.180
Mn 1.893 1.634 10.303
Mn 1.893 -1.634 5.087
S 1.893 8.362 5.911
S 1.893 3.412 8.749
S 1.893 3.188 1.647
S 1.893 2.509 5.190
S 1.893 0.312 8.367
S 1.893 -0.312 3.152
S 1.893 -2.509 10.406
S 1.893 -3.188 6.862
S 1.893 -3.412 3.533
S 1.893 -8.362 0.695
```

Total magnetic moment in μB/f.u.: 4.0
D(E_F) in states/eV per atom: 0.068
Space-group type: No. 36
VASP energy in eV per atom: -6.07

---

First-principles (PBE-GGA) data for BeZnCdIr after structural relaxation, as listed in Alexandria via LeMat-Bulk.

extended XYZ file:
```
4
Lattice="3.357 -1.949 0.000 3.357 1.949 0.000 -2.264 0.000 4.794" Properties=species:S:1:pos:R:3 pbc="T T T"
Be 0.000 0.000 0.000
Zn 2.219 0.000 3.628
Cd 4.480 0.000 1.985
Ir 2.237 0.000 0.261
```

Energy of formation in eV per atom: -0.033
Total magnetic moment in μB/f.u.: 0.0
D(E_F) in states/eV per atom: 0.298
Space-group type: No. 8
Energy relative to the lowest polymorph listed for this composition in meV per atom: 150.9
VASP energy in eV per atom: -3.73

---

First-principles (PBE-GGA) data for Ti2CoTc after structural relaxation, as listed in Alexandria via LeMat-Bulk.

extended XYZ file:
```
4
Lattice="0.000 3.036 3.036 3.036 0.000 3.036 3.036 3.036 0.000" Properties=species:S:1:pos:R:3 pbc="T T T"
Ti 1.518 1.518 1.518
Ti 4.554 4.554 4.554
Co 0.000 0.000 0.000
Tc 3.036 3.036 3.036
```

Energy of formation in eV per atom: -0.510
Total magnetic moment in μB/f.u.: 0.0
D(E_F) in states/eV per atom: 0.411
Space-group type: No. 225
Energy relative to the lowest polymorph listed for this composition in meV per atom: 0.0
VASP energy in eV per atom: -8.83

---

First-principles (PBE-GGA) data for BeReSi2 after structural relaxation, as listed in Alexandria via LeMat-Bulk.

extended XYZ file:
```
4
Lattice="0.000 2.913 2.913 2.913 0.000 2.913 2.913 2.913 0.000" Properties=species:S:1:pos:R:3 pbc="T T T"
Be 0.000 0.000 0.000
Re 4.370 4.370 4.370
Si 1.457 1.457 1.457
Si 2.913 2.913 2.913
```

Total magnetic moment in μB/f.u.: 0.0
D(E_F) in states/eV per atom: 0.612
Space-group type: No. 216
VASP energy in eV per atom: -6.35

---

First-principles (PBE-GGA) data for LiCr2In after structural relaxation, as listed in Alexandria via LeMat-Bulk.

extended XYZ file:
```
4
Lattice="2.475 -4.427 0.000 2.475 4.427 0.000 0.000 0.000 2.623" Properties=species:S:1:pos:R:3 pbc="T T T"
Li 0.000 0.000 0.000
Cr 1.238 2.214 1.311
Cr 1.238 -2.214 1.311
In 2.475 0.000 0.000
```

Energy of formation in eV per atom: 0.570
Total magnetic moment in μB/f.u.: 0.0
D(E_F) in states/eV per atom: 0.922
Space-group type: No. 65
VASP energy in eV per atom: -5.40

---

First-principles (PBE-GGA) data for LaSm2AlO after structural relaxation, as listed in Alexandria via LeMat-Bulk.

extended XYZ file:
```
5
Lattice="4.884 0.000 0.000 0.000 4.884 0.000 0.000 0.000 4.994" Properties=species:S:1:pos:R:3 pbc="T T T"
La 0.000 0.000 0.000
Sm 0.000 2.442 2.497
Sm 2.442 0.000 2.497
Al 2.442 2.442 0.000
O 0.000 0.000 2.497
```

Total magnetic moment in μB/f.u.: 0.0
D(E_F) in states/eV per atom: 0.329
Space-group type: No. 123
VASP energy in eV per atom: -5.94

---

First-principles (PBE-GGA) data for BaFeIr2 after structural relaxation, as listed in Alexandria via LeMat-Bulk.

extended XYZ file:
```
4
Lattice="0.000 3.368 3.368 3.368 0.000 3.368 3.368 3.368 0.000" Properties=species:S:1:pos:R:3 pbc="T T T"
Ba 0.000 0.000 0.000
Fe 1.684 1.684 1.684
Ir 3.368 3.368 3.368
Ir 5.052 5.052 5.052
```

Energy of formation in eV per atom: 0.897
Total magnetic moment in μB/f.u.: 3.9
D(E_F) in states/eV per atom: 0.981
Space-group type: No. 216
VASP energy in eV per atom: -6.13

---

First-principles (PBE-GGA) data for ZrAu2F after structural relaxation, as listed in Alexandria via LeMat-Bulk.

extended XYZ file:
```
4
Lattice="0.000 3.297 3.297 3.297 0.000 3.297 3.297 3.297 0.000" Properties=species:S:1:pos:R:3 pbc="T T T"
Zr 0.000 0.000 0.000
Au 1.649 1.649 1.649
Au 4.946 4.946 4.946
F 3.297 3.297 3.297
```

Total magnetic moment in μB/f.u.: 0.0
D(E_F) in states/eV per atom: 0.684
Space-group type: No. 225
Energy relative to the lowest polymorph listed for this composition in meV per atom: 150.9
VASP energy in eV per atom: -4.86

---

First-principles (PBE-GGA) data for LaTmInPb after structural relaxation, as listed in Alexandria via LeMat-Bulk.

extended XYZ file:
```
4
Lattice="-2.534 2.534 4.489 2.534 -2.534 4.489 2.534 2.534 -4.489" Properties=species:S:1:pos:R:3 pbc="T T T"
La 0.000 0.000 0.000
Tm 0.000 0.000 4.489
In 2.534 0.000 2.245
Pb 0.000 2.534 2.245
```

Energy of formation in eV per atom: -0.465
Total magnetic moment in μB/f.u.: 0.0
D(E_F) in states/eV per atom: 0.896
Space-group type: No. 119
Energy relative to the lowest polymorph listed for this composition in meV per atom: 0.0
VASP energy in eV per atom: -4.43

---

First-principles (PBE-GGA) data for HfFeTe2S after structural relaxation, as listed in Alexandria via LeMat-Bulk.

extended XYZ file:
```
5
Lattice="4.785 0.000 0.000 0.000 4.785 0.000 0.000 0.000 5.033" Properties=species:S:1:pos:R:3 pbc="T T T"
Hf 0.000 0.000 0.000
Fe 0.000 0.000 2.516
Te 0.000 2.393 2.516
Te 2.393 0.000 2.516
S 2.393 2.393 0.000
```

Total magnetic moment in μB/f.u.: 0.8
D(E_F) in states/eV per atom: 1.084
Space-group type: No. 123
VASP energy in eV per atom: -5.34

---

First-principles (PBE-GGA) data for Ho7Al4In after structural relaxation, as listed in Alexandria via LeMat-Bulk.

extended XYZ file:
```
12
Lattice="6.918 -2.832 0.000 6.918 2.832 0.000 -4.397 0.000 8.023" Properties=species:S:1:pos:R:3 pbc="T T T"
Ho 0.000 0.000 0.000
Ho 0.231 0.000 5.684
Ho 3.709 0.000 1.051
Ho 3.246 0.000 4.668
Ho 6.193 0.000 3.355
Ho 5.730 0.000 6.972
Ho 9.208 0.000 2.339
Al -2.644 0.000 5.337
Al 0.968 0.000 2.730
Al 8.471 0.000 5.293
Al 12.083 0.000 2.686
In 6.918 0.000 0.000
```

Energy of formation in eV per atom: -0.135
Total magnetic moment in μB/f.u.: 0.0
D(E_F) in states/eV per atom: 0.973
Space-group type: No. 12
VASP energy in eV per atom: -4.28